Ba4TlCd | PBE | relaxed

a b c (Å): 10.439 10.439 10.439
angles (deg): 90.00 90.00 90.00
Space group F-43m (No. 216)
Symmetry-distinct sites (fractional):
Ba 0.125 0.125 0.125
Tl 0.000 0.000 0.500
Cd 0.250 0.250 0.750

As for the distance to the lowest polymorph of the same formula: 559 meV per atom. The crystal system is cubic. For the energy of formation, the calculation gives 6.57 kcal/mol of atoms.

HoErTl | PBE | relaxed

a b c (Å): 7.282 7.282 7.282
angles (deg): 90.00 90.00 90.00
Space group F-43m (No. 216)
Symmetry-distinct sites (fractional):
Ho 0.000 0.000 0.000
Er 0.000 0.000 0.500
Tl 0.250 0.250 0.750

As for the distance to the lowest polymorph of the same formula: 220 meV per atom. The crystal system is cubic. For the energy of formation, the calculation gives -0.71 kcal/mol of atoms.

Pm2Tm3Sc3 | PBE | relaxed

a b c (Å): 5.463 5.469 15.714
angles (deg): 90.00 90.00 90.00
Space group Immm (No. 71)
Symmetry-distinct sites (fractional):
Pm 0.000 0.000 0.249
Tm 0.000 0.000 0.500
Tm 0.000 0.500 0.385
Sc 0.000 0.000 0.000
Sc 0.000 0.500 0.113

As for the distance to the lowest polymorph of the same formula: 0 meV per atom. The crystal system is orthorhombic. For the energy of formation, the calculation gives 2.55 kcal/mol of atoms.

What did we get for total magnetic moment? Answer: 0.000, 0.003, 0.000 μB per cell, in the order shown.